# PBE La14ThMg, optimized geometry
data_La14ThMg
_chemical_formula_sum 'La14 Th1 Mg1'
_cell_length_a 7.348
_cell_length_b 7.348
_cell_length_c 10.483
_cell_angle_alpha 90.00
_cell_angle_beta 90.00
_cell_angle_gamma 90.00
_symmetry_space_group_name_H-M 'P 1'
_symmetry_Int_Tables_number 1
loop_
_symmetry_equiv_pos_as_xyz
'x,y,z'
loop_
_atom_site_label
_atom_site_type_symbol
_atom_site_fract_x
_atom_site_fract_y
_atom_site_fract_z
La1 La 0.624 0.624 0.255
La2 La 0.875 0.375 0.500
La3 La 0.375 0.375 0.000
La4 La 0.875 0.875 0.000
La5 La 0.624 0.126 0.745
La6 La 0.624 0.624 0.745
La7 La 0.375 0.875 0.500
La8 La 0.375 0.875 0.000
La9 La 0.126 0.126 0.745
La10 La 0.126 0.624 0.255
Mg1 Mg 0.875 0.875 0.500
La11 La 0.875 0.375 0.000
Th1 Th 0.375 0.375 0.500
La12 La 0.126 0.624 0.745
La13 La 0.126 0.126 0.255
La14 La 0.624 0.126 0.255
# space group	No. 123
# formation energy	-0.02	eV per formula unit
# raw total energy	-4.8764	eV per atom

***

# PBE Ho9Tm2Th, optimized geometry
data_Ho9Tm2Th
_chemical_formula_sum 'Ho9 Tm2 Th1'
_cell_length_a 4.988
_cell_length_b 4.988
_cell_length_c 14.936
_cell_angle_alpha 90.00
_cell_angle_beta 90.00
_cell_angle_gamma 90.00
_symmetry_space_group_name_H-M 'P 1'
_symmetry_Int_Tables_number 1
loop_
_symmetry_equiv_pos_as_xyz
'x,y,z'
loop_
_atom_site_label
_atom_site_type_symbol
_atom_site_fract_x
_atom_site_fract_y
_atom_site_fract_z
Ho1 Ho 0.500 0.000 0.500
Ho2 Ho 0.500 0.500 0.664
Ho3 Ho 0.000 0.500 0.834
Ho4 Ho 0.000 0.500 0.500
Ho5 Ho 0.500 0.000 0.834
Ho6 Ho 0.000 0.500 0.166
Tm1 Tm 0.000 0.000 0.334
Tm2 Tm 0.000 0.000 0.666
Th1 Th 0.000 0.000 0.000
Ho7 Ho 0.500 0.500 0.336
Ho8 Ho 0.500 0.500 0.000
Ho9 Ho 0.500 0.000 0.166
# space group	No. 123
# formation energy	0.35	eV per formula unit
# raw total energy	-4.7675	eV per atom

***

# PBE RbSiB, optimized geometry
data_RbSiB
_chemical_formula_sum 'Rb2 Si2 B2'
_cell_length_a 3.553
_cell_length_b 8.356
_cell_length_c 6.869
_cell_angle_alpha 52.54
_cell_angle_beta 75.01
_cell_angle_gamma 90.00
_symmetry_space_group_name_H-M 'P 1'
_symmetry_Int_Tables_number 1
loop_
_symmetry_equiv_pos_as_xyz
'x,y,z'
loop_
_atom_site_label
_atom_site_type_symbol
_atom_site_fract_x
_atom_site_fract_y
_atom_site_fract_z
B1 B 0.500 0.236 0.000
Si1 Si 0.000 0.150 0.000
Si2 Si 0.000 0.850 0.000
B2 B 0.500 0.764 0.000
Rb1 Rb 0.797 0.297 0.405
Rb2 Rb 0.203 0.703 0.595
# raw formation energy	0.4333	eV/atom
# space group	No. 71
# raw total energy	-3.9227	eV per atom

***

# PBE LiSn2Pd2, optimized geometry
data_LiSn2Pd2
_chemical_formula_sum 'Li2 Sn4 Pd4'
_cell_length_a 4.532
_cell_length_b 7.081
_cell_length_c 7.076
_cell_angle_alpha 67.63
_cell_angle_beta 71.30
_cell_angle_gamma 71.37
_symmetry_space_group_name_H-M 'P 1'
_symmetry_Int_Tables_number 1
loop_
_symmetry_equiv_pos_as_xyz
'x,y,z'
loop_
_atom_site_label
_atom_site_type_symbol
_atom_site_fract_x
_atom_site_fract_y
_atom_site_fract_z
Pd1 Pd 0.667 0.165 0.999
Sn1 Sn 0.417 0.417 0.250
Li1 Li 0.750 0.750 0.250
Pd2 Pd 0.832 0.335 0.501
Pd3 Pd 0.333 0.835 0.001
Sn2 Sn 0.583 0.583 0.750
Li2 Li 0.250 0.250 0.750
Sn3 Sn 0.083 0.083 0.250
Pd4 Pd 0.168 0.665 0.499
Sn4 Sn 0.917 0.917 0.750
# space group	No. 12
# formation energy	-2.82	eV per formula unit
# raw total energy	-4.6257	eV per atom

***

# PBE CsErCd2, optimized geometry
data_CsErCd2
_chemical_formula_sum 'Cs1 Er1 Cd2'
_cell_length_a 3.855
_cell_length_b 3.855
_cell_length_c 9.143
_cell_angle_alpha 90.00
_cell_angle_beta 90.00
_cell_angle_gamma 90.00
_symmetry_space_group_name_H-M 'P 1'
_symmetry_Int_Tables_number 1
loop_
_symmetry_equiv_pos_as_xyz
'x,y,z'
loop_
_atom_site_label
_atom_site_type_symbol
_atom_site_fract_x
_atom_site_fract_y
_atom_site_fract_z
Er1 Er 0.500 0.500 0.000
Cd1 Cd 0.000 0.000 0.818
Cd2 Cd 0.000 0.000 0.182
Cs1 Cs 0.500 0.500 0.500
# space group	No. 123
# formation energy	-0.18	eV per formula unit
# raw total energy	-1.8558	eV per atom

***

# PBE OsRh2Br, optimized geometry
data_OsRh2Br
_chemical_formula_sum 'Os1 Rh2 Br1'
_cell_length_a 4.563
_cell_length_b 4.563
_cell_length_c 6.592
_cell_angle_alpha 82.47
_cell_angle_beta 82.47
_cell_angle_gamma 36.66
_symmetry_space_group_name_H-M 'P 1'
_symmetry_Int_Tables_number 1
loop_
_symmetry_equiv_pos_as_xyz
'x,y,z'
loop_
_atom_site_label
_atom_site_type_symbol
_atom_site_fract_x
_atom_site_fract_y
_atom_site_fract_z
Rh1 Rh 0.696 0.696 0.837
Os1 Os 0.222 0.222 0.158
Rh2 Rh 0.957 0.957 0.026
Br1 Br 0.625 0.625 0.479
# raw formation energy	0.6445	eV/atom
# space group	No. 8
# raw total energy	-6.2568	eV per atom